No. 1
{
  "formula": "AcCd6Pd4",
  "functional": "PBE-GGA",
  "state": "optimized geometry",
  "spacegroup": "I-42m (121)",
  "de_polymorph_ev_per_atom": 0.0568,
  "lattice_angstrom": [[7.1558, -0.1973, -0.2901], [-3.4834, 6.2538, 0.2901], [-3.4834, -2.0295, 5.9225]],
  "species": ["Ac", "Cd", "Cd", "Cd", "Cd", "Cd", "Cd", "Pd", "Pd", "Pd", "Pd"],
  "frac_coords": [[0.0000, 0.0000, 0.0000], [0.0000, 0.8856, 0.5204], [0.0000, 0.5204, 0.8856], [0.6347, 0.1144, 0.1144], [0.5000, 0.0000, 0.5000], [0.3653, 0.4796, 0.4796], [0.5000, 0.5000, 0.0000], [0.0000, 0.2537, 0.6020], [0.6518, 0.3980, 0.3980], [0.0000, 0.6020, 0.2537], [0.3482, 0.7463, 0.7463]]
}

***

No. 2
{
  "formula": "Ac2Cd3Pd5",
  "functional": "PBE-GGA",
  "state": "optimized geometry",
  "spacegroup": "Ibam (72)",
  "lattice_angstrom": [[-5.4143, -2.1852, 1.2365], [1.0210, -7.8208, 5.0523], [-2.0050, 1.8843, 8.9533]],
  "species": ["Ac", "Ac", "Ac", "Ac", "Cd", "Cd", "Cd", "Cd", "Cd", "Cd", "Pd", "Pd", "Pd", "Pd", "Pd", "Pd", "Pd", "Pd", "Pd", "Pd"],
  "frac_coords": [[0.1246, 0.6177, 0.1331], [0.6246, 0.1331, 0.6177], [0.8754, 0.3823, 0.8669], [0.3754, 0.8669, 0.3823], [0.3478, 0.5736, 0.7308], [0.8478, 0.7308, 0.5736], [0.6522, 0.4264, 0.2692], [0.1522, 0.2692, 0.4264], [0.2500, 0.0000, 0.0000], [0.7500, 0.0000, 0.0000], [0.3966, 0.2839, 0.9230], [0.8966, 0.9230, 0.2839], [0.6034, 0.7161, 0.0770], [0.1034, 0.0770, 0.7161], [0.4462, 0.8038, 0.8038], [0.5538, 0.1962, 0.1962], [0.7500, 0.5000, 0.5000], [0.2500, 0.5000, 0.5000], [0.0538, 0.1962, 0.1962], [0.9462, 0.8038, 0.8038]]
}

***

No. 3
{
  "formula": "Ac4CdPd",
  "functional": "PBE-GGA",
  "state": "optimized geometry",
  "spacegroup": "F-43m (216)",
  "lattice_angstrom": [[-0.5185, -7.5822, 7.4506], [-2.8383, -9.9028, -2.6738], [7.2130, -7.8245, 0.1407]],
  "species": ["Ac", "Ac", "Ac", "Ac", "Ac", "Ac", "Ac", "Ac", "Ac", "Ac", "Ac", "Ac", "Ac", "Ac", "Ac", "Ac", "Cd", "Cd", "Cd", "Cd", "Pd", "Pd", "Pd", "Pd"],
  "frac_coords": [[0.3999, 0.3999, 0.3999], [0.8003, 0.3999, 0.3999], [0.3999, 0.8003, 0.3999], [0.3999, 0.3999, 0.8003], [0.5562, 0.5562, 0.9438], [0.9438, 0.9438, 0.5562], [0.5562, 0.9438, 0.5562], [0.9438, 0.5562, 0.9438], [0.9438, 0.5562, 0.5562], [0.5562, 0.9438, 0.9438], [0.1859, 0.1859, 0.8141], [0.8141, 0.8141, 0.1859], [0.1859, 0.8141, 0.1859], [0.8141, 0.1859, 0.8141], [0.8141, 0.1859, 0.1859], [0.1859, 0.8141, 0.8141], [0.1706, 0.1706, 0.1706], [0.4881, 0.1706, 0.1706], [0.1706, 0.4881, 0.1706], [0.1706, 0.1706, 0.4881], [0.6064, 0.6064, 0.6064], [0.1807, 0.6064, 0.6064], [0.6064, 0.1807, 0.6064], [0.6064, 0.6064, 0.1807]]
}

***

No. 4
{
  "formula": "Ac3CdPd4",
  "functional": "PBE-GGA",
  "state": "optimized geometry",
  "spacegroup": "Immm (71)",
  "lattice_angstrom": [[-0.9569, 2.1282, -3.5644], [-6.2960, -2.2382, 0.3537], [1.6434, 6.3075, 5.8708]],
  "species": ["Ac", "Ac", "Ac", "Cd", "Pd", "Pd", "Pd", "Pd"],
  "frac_coords": [[0.0000, 0.5000, 0.0000], [0.1909, 0.1909, 0.3818], [0.8091, 0.8091, 0.6182], [0.5000, 0.0000, 0.0000], [0.3758, 0.5804, 0.7517], [0.6242, 0.4196, 0.2483], [0.6241, 0.8286, 0.2483], [0.3759, 0.1714, 0.7517]]
}

***

No. 5
{
  "formula": "Ac2Cd2Pd15",
  "functional": "PBE-GGA",
  "state": "optimized geometry",
  "spacegroup": "R-3m (166)",
  "lattice_angstrom": [[-5.3633, -3.8161, 2.6784], [3.4170, -6.1866, 0.7426], [1.6726, 0.5747, 6.8829]],
  "species": ["Ac", "Ac", "Cd", "Cd", "Pd", "Pd", "Pd", "Pd", "Pd", "Pd", "Pd", "Pd", "Pd", "Pd", "Pd", "Pd", "Pd", "Pd", "Pd"],
  "frac_coords": [[0.3467, 0.3467, 0.3467], [0.6533, 0.6533, 0.6533], [0.0984, 0.0984, 0.0984], [0.9016, 0.9016, 0.9016], [0.5000, 0.0000, 0.0000], [0.0000, 0.0000, 0.5000], [0.0000, 0.5000, 0.0000], [0.0000, 0.6985, 0.3015], [0.6985, 0.3015, 0.0000], [0.3015, 0.0000, 0.6985], [0.3015, 0.6985, 0.0000], [0.6985, 0.0000, 0.3015], [0.0000, 0.3015, 0.6985], [0.1556, 0.6522, 0.6522], [0.6522, 0.6522, 0.1556], [0.6522, 0.1556, 0.6522], [0.8444, 0.3478, 0.3478], [0.3478, 0.3478, 0.8444], [0.3478, 0.8444, 0.3478]]
}

***

No. 6
{
  "formula": "AcCd6Pd2",
  "functional": "PBE-GGA",
  "state": "optimized geometry",
  "spacegroup": "C2/m (12)",
  "lattice_angstrom": [[-3.9020, 3.3625, -0.8285], [-5.3181, -3.2339, -4.5759], [-6.7657, -3.4201, 1.4858]],
  "species": ["Ac", "Cd", "Cd", "Cd", "Cd", "Cd", "Cd", "Pd", "Pd"],
  "frac_coords": [[0.0000, 0.0000, 0.0000], [0.2896, 0.9589, 0.4621], [0.7104, 0.0411, 0.5379], [0.7104, 0.5379, 0.0411], [0.5000, 0.2878, 0.7122], [0.5000, 0.7122, 0.2878], [0.2896, 0.4621, 0.9589], [0.1067, 0.3926, 0.3926], [0.8933, 0.6074, 0.6074]]
}

***

No. 7
{
  "formula": "Ac3Cd2Pd4",
  "functional": "PBE-GGA",
  "state": "optimized geometry",
  "spacegroup": "C2/m (12)",
  "de_polymorph_ev_per_atom": 0.0182,
  "lattice_angstrom": [[-4.1456, -0.9886, -1.6375], [4.2489, -0.6897, -3.9756], [0.7186, -8.7648, 3.4725]],
  "species": ["Ac", "Ac", "Ac", "Cd", "Cd", "Pd", "Pd", "Pd", "Pd"],
  "frac_coords": [[0.3732, 0.7463, 0.6196], [0.0000, 0.0000, 0.0000], [0.6268, 0.2537, 0.3804], [0.3231, 0.6462, 0.2171], [0.6769, 0.3538, 0.7829], [0.7145, 0.4290, 0.0829], [0.0807, 0.1613, 0.6281], [0.9193, 0.8387, 0.3719], [0.2855, 0.5710, 0.9171]]
}

***

No. 8
{
  "formula": "Ac2CdPd",
  "functional": "PBE-GGA",
  "state": "optimized geometry",
  "spacegroup": "R-3m (166)",
  "de_polymorph_ev_per_atom": 0.6246,
  "lattice_angstrom": [[3.7453, 0.0000, 0.0000], [1.8727, 3.2436, 0.0000], [1.8727, 1.0812, 11.0939]],
  "species": ["Ac", "Ac", "Pd", "Cd"],
  "frac_coords": [[0.0838, 0.0838, 0.7485], [0.9162, 0.9162, 0.2515], [0.0000, 0.0000, 0.0000], [0.5000, 0.5000, 0.5000]]
}

***

Number 1: total energy -34.06 eV per formula unit, formation enthalpy at 0 K -335.8 meV per atom, D(E_F) 0.49 states/eV per atom. Number 2: total energy -42.57 eV per formula unit, formation enthalpy at 0 K -564.6 meV per atom, D(E_F) 0.42 states/eV per atom. Number 3: total energy -24.77 eV per formula unit, formation enthalpy at 0 K -371.5 meV per atom, D(E_F) 1.10 states/eV per atom. Number 4: total energy -39.60 eV per formula unit, formation enthalpy at 0 K -698.9 meV per atom, D(E_F) 0.51 states/eV per atom. Number 5: total energy -96.17 eV per formula unit, formation enthalpy at 0 K -433.3 meV per atom, D(E_F) 1.04 states/eV per atom. Number 6: total energy -21.24 eV per formula unit, formation enthalpy at 0 K -138.9 meV per atom, D(E_F) 0.55 states/eV per atom. Number 7: total energy -41.04 eV per formula unit, formation enthalpy at 0 K -679.6 meV per atom, D(E_F) 0.55 states/eV per atom. Number 8: total energy -13.94 eV per formula unit, formation enthalpy at 0 K 97.1 meV per atom, D(E_F) 0.91 states/eV per atom.